## NbP2AuS (GGA-PBE)

Data for crystalline NbP2AuS at its relaxed geometry.

```
data_NbP2AuS
_chemical_formula_sum 'Nb1 P2 Au1 S1'
_space_group_name_H-M_alt 'P 4/m m m'
_space_group_IT_number 123
_space_group_name_Hall '-P 4 2'
_cell_length_a 4.685
_cell_length_b 4.685
_cell_length_c 4.755
_cell_angle_alpha 90.00
_cell_angle_beta 90.00
_cell_angle_gamma 90.00
loop_
_atom_site_label
_atom_site_type_symbol
_atom_site_fract_x
_atom_site_fract_y
_atom_site_fract_z
Nb1 Nb 0.000 0.000 0.000
P1 P 0.000 0.500 0.500
Au1 Au 0.500 0.500 0.500
S1 S 0.500 0.500 0.000
```

* E: -0.329 Ry per atom
* size of the total moment: 0.00 μB per formula unit
* E above lowest polymorph: 735.4 meV per atom
* energy relative to the elements, uncorrected: 5.9 eV per formula unit